Record 1
DFT (PBE) results for a geometry-optimized Ag15Ge structure.

Calculated values
As for the excess energy over the best structure of this formula in the dataset: 22 meV per atom.

Unit cell a=8.324 b=2.911 c=37.385 alpha=90.00 beta=90.05 gamma=90.00
Space group P2_1/m (No. 11)
Symmetry-distinct sites (fractional):
1 Ag 0.122 0.250 0.241
2 Ag 0.125 0.250 0.322
3 Ag 0.125 0.250 0.402
4 Ag 0.125 0.250 0.480
5 Ag 0.125 0.250 0.559
6 Ag 0.125 0.250 0.638
7 Ag 0.125 0.250 0.717
8 Ag 0.372 0.750 0.759
9 Ag 0.375 0.750 0.206
10 Ag 0.375 0.750 0.283
11 Ag 0.375 0.750 0.362
12 Ag 0.375 0.750 0.441
13 Ag 0.375 0.750 0.520
14 Ag 0.375 0.750 0.599
15 Ag 0.375 0.750 0.678
16 Ge 0.125 0.250 0.793

---

Record 2
DFT (PBE) results for a geometry-optimized Ag15Ge structure.

Calculated values
As for the excess energy over the best structure of this formula in the dataset: 2 meV per atom.

Unit cell a=5.832 b=2.931 c=46.839 alpha=90.00 beta=90.03 gamma=90.00
Space group P2_1/m (No. 11)
Symmetry-distinct sites (fractional):
1 Ag 0.123 0.250 0.292
2 Ag 0.125 0.250 0.022
3 Ag 0.125 0.250 0.112
4 Ag 0.125 0.250 0.201
5 Ag 0.125 0.250 0.754
6 Ag 0.125 0.250 0.843
7 Ag 0.125 0.250 0.933
8 Ag 0.373 0.750 0.708
9 Ag 0.375 0.750 0.067
10 Ag 0.375 0.750 0.157
11 Ag 0.375 0.750 0.246
12 Ag 0.375 0.750 0.336
13 Ag 0.375 0.750 0.799
14 Ag 0.375 0.750 0.888
15 Ag 0.375 0.750 0.978
16 Ge 0.125 0.250 0.664

---

Record 3
DFT (PBE) results for a geometry-optimized AgGe structure.

Calculated values
As for the excess energy over the best structure of this formula in the dataset: 401 meV per atom.

Unit cell a=5.889 b=5.889 c=5.889 alpha=90.00 beta=90.00 gamma=90.00
Space group F-43m (No. 216)
Symmetry-distinct sites (fractional):
1 Ag 0.000 0.000 0.000
2 Ge 0.250 0.250 0.750

---

Record 4
DFT (PBE) results for a geometry-optimized Ag124Ge structure.

Calculated values
The value obtained for the calculated total energy is -2.8413 eV per atom.

Unit cell a=20.814 b=20.814 c=20.814 alpha=90.00 beta=90.00 gamma=90.00
Space group Fm-3m (No. 225)
Symmetry-distinct sites (fractional):
1 Ag 0.000 0.000 0.100
2 Ag 0.000 0.000 0.300
3 Ag 0.000 0.100 0.200
4 Ag 0.000 0.100 0.400
5 Ag 0.000 0.200 0.300
6 Ag 0.100 0.100 0.100
7 Ag 0.100 0.100 0.300
8 Ag 0.100 0.200 0.200
9 Ag 0.200 0.200 0.300
10 Ge 0.000 0.000 0.500

---

Calculated density values, unit g/cm³, following the record order: 6.2; 7.0; 5.9; 9.9.